[1]
## NaDyBiPb (PBE)

Data for NaDyBiPb after structural relaxation.

Output
formation energy from the elements	-0.2992	eV per atom
DOS(E_F)	3.93	states/eV/f.u.
space-group type	F-43m, No. 216

Cell lengths 5.4820, 5.4820, 5.4820 Å; angles 60.00, 60.00, 60.00 degrees
Fractional coordinates of all 4 atoms:
Na1 0.0000 0.0000 0.0000
Pb1 0.7500 0.7500 0.7500
Bi1 0.2500 0.2500 0.2500
Dy1 0.5000 0.5000 0.5000

=====

[2]
## CsMgAg2F8 (PBE)

Data for CsMgAg2F8 after structural relaxation.

Output
raw formation energy	-1.858	eV/atom
DOS(E_F)	8.14	states/eV/f.u.
space-group type	R-3, No. 148

Cell lengths 5.7014, 5.7014, 8.0209 Å; angles 69.18, 69.18, 60.00 degrees
Each line ends with the local moment (μB).
Fractional coordinates of all 12 atoms:
F1 0.2931 0.8921 0.1334  0.15
F2 0.3185 0.7069 0.8666  0.15
F3 0.1079 0.3185 0.8666  0.15
F4 0.8921 0.6815 0.1334  0.15
Ag1 0.7012 0.7012 0.8965  0.68
Mg1 0.0000 0.0000 0.0000  0.00
F5 0.2056 0.2056 0.3831  0.34
F6 0.7944 0.7944 0.6169  0.34
Cs1 0.5000 0.5000 0.5000  0.00
F7 0.7069 0.1079 0.8666  0.15
Ag2 0.2988 0.2988 0.1035  0.68
F8 0.6815 0.2931 0.1334  0.15